TbPrLuMg | GGA-PBE | relaxed

Cell lengths 5.540, 5.540, 5.540 Å; angles 60.00, 60.00, 60.00 degrees
Atoms (fractional coordinates):
Mg1 0.250 0.250 0.250
Pr1 0.000 0.000 0.000
Lu1 0.750 0.750 0.750
Tb1 0.500 0.500 0.500

Results
* calculated volume: 30.06 Å³/atom
* calculated total energy: -3.867 eV/atom